1.
DFT (PBE) results for an optimized crystal structure of Ba2ReNi.

Summary:
E, eV/atom: -4.265
Symmetry: C2/m (12)
Formation energy, eV/atom: 1.254

Lattice parameters (Å, degrees): 8.098 3.374 8.646 90.00 97.40 90.00
Element x y z (fractional)
1 Ba 0.248 0.000 0.261
2 Ba 0.252 0.500 0.739
3 Ba 0.748 0.500 0.261
4 Ba 0.752 0.000 0.739
5 Re 0.000 0.500 0.000
6 Re 0.500 0.000 0.000
7 Ni 0.000 0.000 0.500
8 Ni 0.500 0.500 0.500

2.
DFT (PBE) results for an optimized crystal structure of Ba2ReNi.

Summary:
E, eV/atom: -4.899
Symmetry: Imm2 (44)
Formation energy, eV/atom: 0.620

Lattice parameters (Å, degrees): 4.164 4.724 13.956 90.00 90.00 90.00
Element x y z (fractional)
1 Ba 0.000 0.000 0.000
2 Ba 0.000 0.500 0.246
3 Ba 0.500 0.000 0.746
4 Ba 0.500 0.500 0.500
5 Re 0.000 0.500 0.841
6 Re 0.500 0.000 0.341
7 Ni 0.000 0.000 0.410
8 Ni 0.500 0.500 0.910

3.
DFT (PBE) results for an optimized crystal structure of BaRe2Ni.

Summary:
E, eV/atom: -6.991
Symmetry: R-3m (166)
Formation energy, eV/atom: 1.159

Lattice parameters (Å, degrees): 2.888 2.888 30.533 90.00 90.00 120.00
Element x y z (fractional)
1 Ba 0.000 0.000 0.000
2 Ba 0.333 0.667 0.667
3 Ba 0.667 0.333 0.333
4 Re 0.000 0.000 0.232
5 Re 0.000 0.000 0.768
6 Re 0.333 0.667 0.435
7 Re 0.333 0.667 0.899
8 Re 0.667 0.333 0.101
9 Re 0.667 0.333 0.565
10 Ni 0.000 0.000 0.500
11 Ni 0.333 0.667 0.167
12 Ni 0.667 0.333 0.833